Below is an optimized crystal structure of AcGeO, with properties calculated at the PBE-GGA level.

a = 9.6412 Å, b = 9.6412 Å, c = 9.6412 Å
α = 24.36°, β = 24.36°, γ = 24.36°
With the nearest neighbours (Å) after each atom.
Element x y z (fractional)
Ac (0.0000, 0.0000, 0.0000)  3 O 2.48
Ac (0.2103, 0.2103, 0.2103)  4 O 2.44-2.64
Ge (0.4208, 0.4208, 0.4208)  3 Ge 2.57
Ge (0.7910, 0.7910, 0.7910)  3 Ge 2.57
O (0.3045, 0.3045, 0.3045)  4 Ac 2.48-2.64
O (0.5676, 0.5676, 0.5676)  3 Ac 2.44

Computed properties:
Relative energy among the computed polymorphs (kJ/mol of formula units): 44
Formation energy from raw total energies (eV per atom): -1.93
Symmetry: R3m, No. 160

Below is an optimized crystal structure of Sc2HIrAu, with properties calculated at the PBE-GGA level.

a = 4.5346 Å, b = 4.5346 Å, c = 3.6847 Å
α = 90.00°, β = 90.00°, γ = 90.00°
With the nearest neighbours (Å) after each atom.
Element x y z (fractional)
Sc (0.0000, 0.5000, 0.0000)  2 H 2.27
Sc (0.5000, 0.0000, 0.0000)  2 H 2.27
H (0.0000, 0.0000, 0.0000)  2 Ir 1.84
Ir (0.0000, 0.0000, 0.5000)  2 H 1.84
Au (0.5000, 0.5000, 0.5000)  8 Sc 2.92, 4 Ir 3.21

Computed properties:
Total energy (eV/atom): -6.34
Symmetry: P4/mmm, No. 123

Below is an optimized crystal structure of Na3Er3InSe8, with properties calculated at the PBE-GGA level.

a = 8.0964 Å, b = 8.0964 Å, c = 8.5405 Å
α = 118.30°, β = 118.30°, γ = 60.01°
With the nearest neighbours (Å) after each atom.
Element x y z (fractional)
Na (0.0000, 0.0000, 0.0000)  6 Se 3.04-3.05
Na (0.0000, 0.5000, 0.0000)  6 Se 3.04
Na (0.5000, 0.0000, 0.0000)  6 Se 3.04
Er (0.0000, 0.5000, 0.5000)  6 Se 2.84-2.85
Er (0.5000, 0.0000, 0.5000)  6 Se 2.84-2.85
Er (0.5000, 0.5000, 0.5000)  6 Se 2.84-2.85
In (0.0000, 0.0000, 0.5000)  6 Se 2.82
Se (0.2401, 0.2401, 0.7253)  1 In 2.82, 2 Er 2.85, 2 Na 3.04
Se (0.2414, 0.7445, 0.7255)  1 In 2.82, 2 Er 2.84-2.85, 2 Na 3.04-3.05
Se (0.2555, 0.7586, 0.2745)  1 In 2.82, 2 Er 2.84-2.85, 2 Na 3.04-3.05
Se (0.2570, 0.2570, 0.2725)  3 Er 2.84-2.85, 3 Na 3.04
Se (0.7430, 0.7430, 0.7275)  3 Er 2.84-2.85, 3 Na 3.04
Se (0.7445, 0.2414, 0.7255)  1 In 2.82, 2 Er 2.84-2.85, 2 Na 3.04-3.05
Se (0.7586, 0.2555, 0.2745)  1 In 2.82, 2 Er 2.84-2.85, 2 Na 3.04-3.05
Se (0.7599, 0.7599, 0.2747)  1 In 2.82, 2 Er 2.85, 2 Na 3.04

Computed properties:
Formation energy from raw total energies (eV per atom): -1.38
Symmetry: C2/m, No. 12

Below is an optimized crystal structure of Ho3Er3In, with properties calculated at the PBE-GGA level.

a = 13.1461 Å, b = 5.1520 Å, c = 12.6452 Å
α = 90.00°, β = 90.00°, γ = 90.00°
With the nearest neighbours (Å) after each atom.
Element x y z (fractional)
Ho (0.0867, 0.2500, 0.1895)  6 Er 3.20-3.58, 2 Ho 3.29-3.47, 2 In 3.55
Ho (0.1734, 0.7500, 0.7640)  2 In 3.19, 4 Ho 3.29-3.47, 1 Er 3.56
Ho (0.1874, 0.7500, 0.3664)  1 In 3.23, 2 Ho 3.41, 3 Er 3.49-3.50
Ho (0.3126, 0.2500, 0.8664)  1 In 3.23, 2 Ho 3.41, 3 Er 3.49-3.50
Ho (0.3266, 0.2500, 0.2640)  2 In 3.19, 4 Ho 3.29-3.47, 1 Er 3.56
Ho (0.4133, 0.7500, 0.6895)  6 Er 3.20-3.58, 2 Ho 3.29-3.47, 2 In 3.55
Ho (0.5867, 0.2500, 0.3105)  6 Er 3.20-3.58, 2 Ho 3.29-3.47, 2 In 3.55
Ho (0.6734, 0.7500, 0.7360)  2 In 3.19, 4 Ho 3.29-3.47, 1 Er 3.56
Ho (0.6874, 0.7500, 0.1336)  1 In 3.23, 2 Ho 3.41, 3 Er 3.49-3.50
Ho (0.8126, 0.2500, 0.6336)  1 In 3.23, 2 Ho 3.41, 3 Er 3.49-3.50
Ho (0.8266, 0.2500, 0.2360)  2 In 3.19, 4 Ho 3.29-3.47, 1 Er 3.56
Ho (0.9133, 0.7500, 0.8105)  6 Er 3.20-3.58, 2 Ho 3.29-3.47, 2 In 3.55
Er (0.0202, 0.2500, 0.4328)  3 In 3.12-3.20, 2 Er 3.13, 3 Ho 3.20-3.49
Er (0.0531, 0.2500, 0.9286)  1 In 3.10, 1 Ho 3.33, 2 Er 3.44
Er (0.2234, 0.7500, 0.0539)  1 In 3.36, 5 Ho 3.58-3.72, 4 Er 3.64-3.76
Er (0.2766, 0.2500, 0.5539)  1 In 3.36, 5 Ho 3.58-3.72, 4 Er 3.64-3.76
Er (0.4469, 0.7500, 0.4286)  1 In 3.10, 1 Ho 3.33, 2 Er 3.44
Er (0.4798, 0.7500, 0.9328)  3 In 3.12-3.20, 2 Er 3.13, 3 Ho 3.20-3.49
Er (0.5202, 0.2500, 0.0672)  3 In 3.12-3.20, 2 Er 3.13, 3 Ho 3.20-3.49
Er (0.5531, 0.2500, 0.5714)  1 In 3.10, 1 Ho 3.33, 2 Er 3.44
Er (0.7234, 0.7500, 0.4461)  1 In 3.36, 5 Ho 3.58-3.72, 4 Er 3.64-3.76
Er (0.7766, 0.2500, 0.9461)  1 In 3.36, 5 Ho 3.58-3.72, 4 Er 3.64-3.76
Er (0.9469, 0.7500, 0.0714)  1 In 3.10, 1 Ho 3.33, 2 Er 3.44
Er (0.9798, 0.7500, 0.5672)  3 In 3.12-3.20, 2 Er 3.13, 3 Ho 3.20-3.49
In (0.0532, 0.2500, 0.6836)  5 Er 3.10-3.36, 3 Ho 3.19-3.23
In (0.4468, 0.7500, 0.1836)  5 Er 3.10-3.36, 3 Ho 3.19-3.23
In (0.5532, 0.2500, 0.8164)  5 Er 3.10-3.36, 3 Ho 3.19-3.23
In (0.9468, 0.7500, 0.3164)  5 Er 3.10-3.36, 3 Ho 3.19-3.23

Computed properties:
Formation energy (eV/f.u.): -0.05
Relative energy among the computed polymorphs (kJ/mol of formula units): 68
Symmetry: Pnma, No. 62

no.,magnetic moment (μB/cell),volume (Å³ per cell),N(E_F) (states/eV/f.u.)
1,0.0,134,0.1
2,0.0,76,3.7
3,0.0,406,9.8
4,0.0,856,11.1